No. 1
Material: LaTbGdLu
Method: DFT, PBE
State: optimized geometry

abc: 5.7228 5.7228 5.7228
angles: 60.00 60.00 60.00
With the nearest neighbours (Å) after each atom.
Atoms (fractional coordinates):
Tb 0.5000 0.5000 0.5000  4 Gd 3.50, 4 La 3.50
Lu 0.0000 0.0000 0.0000  4 La 3.50, 4 Gd 3.50
La 0.2500 0.2500 0.2500  4 Tb 3.50, 4 Lu 3.50
Gd 0.7500 0.7500 0.7500  4 Tb 3.50, 4 Lu 3.50

## Properties
formation energy = 0.38 eV per formula unit



No. 2
Material: K2CuTe
Method: DFT, PBE
State: optimized geometry

abc: 6.8376 6.8376 6.8376
angles: 142.32 133.29 61.50
With the nearest neighbours (Å) after each atom.
Atoms (fractional coordinates):
Te 0.5657 0.5657 0.0000  2 Cu 2.58
K 0.2737 0.7737 0.5000  2 K 3.65, 4 Te 3.65-4.08, 4 Cu 3.67
K 0.9811 0.9811 0.0000  2 Cu 3.58, 4 Te 3.63, 2 K 3.65
Cu 0.6795 0.1795 0.5000  2 Te 2.58

## Properties
E_form (uncorrected) = -30.73 kJ/mol of atoms



No. 3
Material: LiMgMn2
Method: DFT, PBE
State: optimized geometry

abc: 4.4286 3.3934 3.3934
angles: 90.00 90.00 90.00
With the nearest neighbours (Å) after each atom.
Atoms (fractional coordinates):
Mn 0.0000 0.5000 0.5000  4 Mn 2.40
Mn 0.0000 0.0000 0.0000  4 Mn 2.40
Li 0.5000 0.5000 0.0000  4 Mg 2.40
Mg 0.5000 0.0000 0.5000  4 Li 2.40

## Properties
formation energy = 1.85 eV per formula unit



No. 4
Material: Hf7In2N2
Method: DFT, PBE
State: optimized geometry

abc: 6.2620 5.9177 6.2620
angles: 84.58 112.98 95.42
With the nearest neighbours (Å) after each atom.
Atoms (fractional coordinates):
In 0.1914 0.5000 0.1914  1 In 2.65, 4 Hf 2.86-2.96
In 0.8086 0.5000 0.8086  1 In 2.65, 4 Hf 2.86-2.96
Hf 0.0665 0.7743 0.4929  2 N 2.27-2.28
Hf 0.0000 0.0000 0.0000  2 N 2.32
Hf 0.5697 0.8103 0.4303  1 N 2.26
Hf 0.4303 0.1897 0.5697  1 N 2.26
Hf 0.5071 0.7743 0.9335  2 N 2.27-2.28
Hf 0.4929 0.2257 0.0665  2 N 2.27-2.28
Hf 0.9335 0.2257 0.5071  2 N 2.27-2.28
N 0.7767 0.9731 0.2233  6 Hf 2.26-2.32
N 0.2233 0.0269 0.7767  6 Hf 2.26-2.32

## Properties
E_form (uncorrected) = -42.04 kJ/mol of atoms



No. 5
Material: Tb3Er6Th
Method: DFT, PBE
State: optimized geometry

abc: 9.7674 9.7674 6.8550
angles: 44.57 44.57 60.00
With the nearest neighbours (Å) after each atom.
Atoms (fractional coordinates):
Er 0.0659 0.4001 0.7999  3 Tb 3.26-3.42
Er 0.5688 0.2313 0.2998  1 Th 3.24, 2 Tb 3.38
Er 0.2313 0.9001 0.2998  1 Th 3.24, 2 Tb 3.38
Er 0.7341 0.0659 0.7999  3 Tb 3.26-3.42
Er 0.4001 0.7341 0.7999  3 Tb 3.26-3.42
Er 0.9001 0.5688 0.2998  1 Th 3.24, 2 Tb 3.38
Tb 0.3999 0.3999 0.8003  2 Tb 2.83
Tb 0.6420 0.6420 0.0741  1 Tb 2.83, 1 Th 3.02
Tb 0.1578 0.1578 0.5266  1 Tb 2.83, 1 Th 3.01
Th 0.9000 0.9000 0.3000  2 Tb 3.01-3.02, 3 Er 3.24

## Properties
formation energy = 3.09 eV per formula unit
excess energy over the best structure of this formula in the dataset = 1.58 eV/f.u.



No. 6
Material: MgSc2Al
Method: DFT, PBE
State: optimized geometry

abc: 3.1613 4.4660 6.1542
angles: 90.00 90.00 90.00
With the nearest neighbours (Å) after each atom.
Atoms (fractional coordinates):
Mg 0.5000 0.5000 0.7511  6 Sc 3.00-3.15, 2 Mg 3.16, 4 Al 3.19
Sc 0.5000 0.5000 0.2631  2 Mg 3.00-3.15, 4 Al 3.06, 6 Sc 3.16-3.18
Sc 0.0000 0.0000 0.0008  2 Al 2.98-3.17, 4 Mg 3.14, 6 Sc 3.16-3.18
Al 0.0000 0.0000 0.4851  6 Sc 2.98-3.17, 2 Al 3.16, 4 Mg 3.19

## Properties
formation energy = -0.40 eV per formula unit
excess energy over the best structure of this formula in the dataset = 0.75 eV/f.u.



These records have electronic total energy values of -6.945, -2.677, -4.998, -8.781, -4.559, -4.600 eV/atom, in the order they appear.